The following is a DFT calculation (PBE) of a relaxed RbCdSn crystal.

Geometry as extended XYZ:
```
6
Lattice="-4.769 4.487 -3.376 -7.599 -2.596 -3.099 -1.485 -0.687 4.220" Properties=species:S:1:pos:R:3 pbc="T T T"
Cd -3.501 1.203 0.879
Cd -10.956 1.387 -1.724
Sn -5.514 -0.691 -0.142
Sn -4.173 -1.208 2.673
Rb -5.218 3.012 -1.862
Rb -7.754 0.265 -3.203
```

Computed properties:
ΔE to the lowest computed polymorph in meV/atom: 0.0
Calculated formation energy in eV per formula unit: -0.451

The following is a DFT calculation (PBE) of a relaxed Nd2Er3Sc4 crystal.

Geometry as extended XYZ:
```
18
Lattice="0.626 -5.018 2.914 3.393 -8.545 -5.749 10.159 -3.453 1.565" Properties=species:S:1:pos:R:3 pbc="T T T"
Er 1.681 -3.919 -0.566
Er 12.497 -13.097 -0.703
Er 3.369 -5.393 2.378
Er 6.176 -7.823 -2.181
Er 8.002 -9.193 0.912
Er 10.809 -11.623 -3.647
Nd 9.482 -7.090 -1.422
Nd 7.887 -11.035 -2.027
Nd 6.291 -5.982 0.758
Nd 4.696 -9.926 0.153
Sc 11.033 -9.979 -0.885
Sc 9.021 -6.408 2.450
Sc 4.709 -3.116 0.188
Sc 3.701 -7.667 -4.420
Sc 9.469 -13.900 -1.457
Sc 10.476 -9.349 3.151
Sc 5.157 -10.608 -3.719
Sc 3.145 -7.038 -0.384
```

Computed properties:
Calculated formation energy in eV per formula unit: 0.983

The following is a DFT calculation (PBE) of a relaxed NiMoPt3 crystal.

Geometry as extended XYZ:
```
10
Lattice="2.723 -0.249 0.000 -2.074 7.371 0.000 0.000 0.000 8.214" Properties=species:S:1:pos:R:3 pbc="T T T"
Pt 1.550 1.947 8.140
Pt 1.550 1.947 4.180
Pt 0.297 3.274 2.053
Pt 0.352 3.848 6.160
Pt -0.900 5.175 0.073
Pt -0.900 5.175 4.034
Mo 1.425 0.628 2.053
Mo -0.776 6.494 6.160
Ni 0.533 5.858 2.053
Ni 0.117 1.263 6.160
```

Computed properties:
ΔE to the lowest computed polymorph in meV/atom: 346.2
Calculated formation energy in eV per formula unit: 0.505

The following is a DFT calculation (PBE) of a relaxed La3GaO crystal.

Geometry as extended XYZ:
```
10
Lattice="3.499 -2.020 0.000 0.000 4.040 0.000 0.000 0.000 20.554" Properties=species:S:1:pos:R:3 pbc="T T T"
Ga 0.000 0.000 10.277
Ga 0.000 0.000 0.000
La 2.333 0.000 2.105
La 1.166 2.020 12.382
La 0.000 0.000 15.416
La 0.000 0.000 5.139
La 2.333 0.000 8.172
La 1.166 2.020 18.449
O 2.333 0.000 5.139
O 1.166 2.020 15.416
```

Computed properties:
Energy relative to the elements, uncorrected in eV/atom: -1.234

The following is a DFT calculation (PBE) of a relaxed BeCuP2Cl crystal.

Geometry as extended XYZ:
```
5
Lattice="4.412 0.000 0.000 0.000 4.412 0.000 0.000 0.000 5.004" Properties=species:S:1:pos:R:3 pbc="T T T"
P 2.206 0.000 0.000
P 0.000 2.206 0.000
Cu 0.000 0.000 0.000
Cl 0.000 0.000 2.502
Be 2.206 2.206 2.502
```

Computed properties:
ΔE to the lowest computed polymorph in meV/atom: 374.6
Energy relative to the elements, uncorrected in eV/atom: 1.021

Q: What is the formula in the third record?
A: NiMoPt3